! LaTbSc4 PBE optimized geometry; values from VASP
&SYSTEM
  ibrav = 0, nat = 12, ntyp = 3
/
ATOMIC_SPECIES
La 138.91 La.upf
Tb 158.93 Tb.upf
Sc 44.96 Sc.upf
CELL_PARAMETERS angstrom
-3.1017 -5.2057 1.2270
8.9904 0.0287 1.3084
-0.9355 2.0619 6.3831
ATOMIC_POSITIONS angstrom
La 1.3769 1.9262 6.2679
La 6.6780 0.1644 1.4236
Tb 0.5897 -2.3597 1.6710
Tb 4.3635 -0.7553 7.2474
Sc 3.6456 0.2591 2.5975
Sc 1.4594 -0.4948 4.5705
Sc -2.8111 -4.2184 3.0976
Sc 3.4938 -2.6202 4.3479
Sc -1.1586 -2.2882 4.7661
Sc 7.7643 1.1034 5.8209
Sc 6.1118 -0.8268 4.1523
Sc 1.3076 -3.3742 6.3209
! relative energy among the computed polymorphs: 163 meV/atom
! crystal system: monoclinic
! E_form: 0.2340 eV/atom
! theoretical density: 4.73 g/cm3